1.
# SrCaIn2H

SrCaIn2H after structural relaxation (GGA-PBE, Alexandria via LeMat-Bulk).

Values from the calculation:
* D(E_F): 2.31 states/eV per cell
* final energy: -13.7 eV per cell
* total magnetic moment: 0.00 Bohr magnetons per cell

```
SrCaIn2H
1.0
5.231 0.000 0.000
0.000 4.666 0.000
0.000 0.000 5.231
Sr Ca H In
1 1 1 2
Cartesian
0.000 2.333 0.000
2.615 2.333 2.615
0.000 0.000 0.000
0.000 0.000 2.615
2.615 0.000 0.000
```

---

2.
# Sr2CaSe2

Sr2CaSe2 after structural relaxation (GGA-PBE, Alexandria via LeMat-Bulk).

Values from the calculation:
* D(E_F): 0.00 states/eV per cell
* total magnetic moment: 0.00 Bohr magnetons per cell
* formation energy (no corrections): -7.533 eV per formula unit

```
Sr2CaSe2
1.0
-2.102 -5.212 -6.060
7.982 -1.043 -1.871
0.220 -3.363 2.816
Sr Ca Se
4 2 4
Cartesian
5.021 -3.182 -0.769
5.463 -5.983 -4.149
1.079 -6.436 -4.347
0.637 -3.635 -0.967
0.000 0.000 0.000
2.940 -3.127 -3.966
6.017 -2.676 -3.668
3.457 -5.085 -6.344
-0.136 -3.579 -4.264
2.423 -1.170 -1.587
```

---

3.
# Hg3SbSe4

Hg3SbSe4 after structural relaxation (GGA-PBE, Alexandria via LeMat-Bulk).

Values from the calculation:
* D(E_F): 2.13 states/eV per cell
* total magnetic moment: 0.00 Bohr magnetons per cell
* formation energy (no corrections): -1.013 eV per formula unit

```
Hg3SbSe4
1.0
-2.628 -5.111 1.090
5.161 -2.364 1.356
-1.526 3.223 11.430
Hg Sb Se
6 2 8
Cartesian
2.387 -4.617 1.621
3.314 -1.233 3.927
-0.519 -2.635 3.808
0.392 0.716 6.122
-1.282 -1.023 9.525
2.551 0.377 9.640
1.094 -0.849 0.386
1.700 -3.022 7.350
3.847 -2.199 1.134
-0.250 -3.659 0.999
0.749 -0.128 3.175
2.005 -3.821 4.577
2.820 -0.646 6.830
-1.127 -1.816 6.633
1.265 -2.259 10.116
-0.037 1.533 9.066
```

---

4.
# YScCoNi

YScCoNi after structural relaxation (GGA-PBE, Alexandria via LeMat-Bulk).

Values from the calculation:
* D(E_F): 2.42 states/eV per cell
* total magnetic moment: 0.00 Bohr magnetons per cell
* DFT formation energy: -1.19 eV per formula unit

```
YScCoNi
1.0
4.614 0.000 0.000
2.307 3.996 0.000
2.307 1.332 3.767
Y Ni Co Sc
1 1 1 1
Cartesian
2.307 1.332 0.942
0.000 0.000 0.000
4.614 2.664 1.884
6.921 3.996 2.826
```

---

5.
# Er2Zn3Au

Er2Zn3Au after structural relaxation (GGA-PBE, Alexandria via LeMat-Bulk).

Values from the calculation:
* D(E_F): 7.42 states/eV per cell
* total magnetic moment: 0.00 Bohr magnetons per cell
* energy above the most stable polymorph in this dataset: 0 meV per atom
* DFT formation energy: -3.16 eV per formula unit

```
Er2Zn3Au
1.0
5.616 -0.629 0.000
-0.847 5.588 0.000
-2.385 -2.479 7.820
Er Zn Au
4 6 2
Cartesian
-0.424 2.794 3.910
3.554 3.695 0.000
2.808 -0.315 3.910
1.215 1.263 0.000
0.739 4.062 1.274
-1.646 1.583 6.546
1.646 -1.583 6.546
4.031 0.896 1.274
0.000 0.000 2.551
2.385 2.479 5.269
2.385 2.479 2.618
0.000 0.000 5.202
```

---

6.
# GdPuGaCu

GdPuGaCu after structural relaxation (GGA-PBE, Alexandria via LeMat-Bulk).

Values from the calculation:
* D(E_F): 8.10 states/eV per cell
* total magnetic moment: 12.95 Bohr magnetons per cell
* DFT formation energy: -0.84 eV per formula unit

```
GdPuGaCu
1.0
-3.552 -2.289 -2.714
0.747 -0.872 -4.889
0.721 -4.694 -1.632
Gd Cu Ga Pu
1 1 1 1
Cartesian
-0.521 -1.964 -2.309
0.000 0.000 0.000
-1.042 -3.927 -4.617
-1.563 -5.891 -6.926
```

---

7.
# AcCdInCu

AcCdInCu after structural relaxation (GGA-PBE, Alexandria via LeMat-Bulk).

Values from the calculation:
* D(E_F): 1.61 states/eV per cell
* total magnetic moment: 0.00 Bohr magnetons per cell
* DFT formation energy: -0.78 eV per formula unit

```
AcCdInCu
1.0
-2.325 2.731 3.812
-5.214 -0.059 0.455
-2.249 -2.499 4.012
Ac Cd Cu In
1 1 1 1
Cartesian
-4.894 0.087 4.140
-7.341 0.130 6.210
-2.447 0.043 2.070
0.000 0.000 0.000
```

---

8.
# Y5Er6Sc

Y5Er6Sc after structural relaxation (GGA-PBE, Alexandria via LeMat-Bulk).

Values from the calculation:
* D(E_F): 17.24 states/eV per cell
* total magnetic moment: 0.00 Bohr magnetons per cell
* DFT formation energy: 0.42 eV per formula unit

```
Y5Er6Sc
1.0
-1.909 3.983 -2.254
-1.723 -5.436 -8.145
-4.954 -1.039 7.810
Y Sc Er
5 1 6
Cartesian
-3.181 1.411 -0.268
-4.523 -1.180 1.745
-0.861 -2.718 -4.072
-4.063 -1.313 -4.334
-5.405 -3.904 -2.320
0.000 0.000 0.000
-5.918 -0.562 -1.436
-5.048 2.182 2.674
-2.254 -2.110 -7.271
-6.332 -0.383 4.683
-3.538 -4.674 -5.263
-2.668 -1.931 -1.153
```